# 1
ZrCO2F | PBEsol | optimized geometry

## Properties
Theoretical density   3.76 Mg/m³
DOS(E_F)   0.387 states/eV/atom
E_form (uncorrected)   -4.1 eV per formula unit
Total DFT energy (no corrections)   -35.25 eV per cell

Lattice parameters (Å, degrees): 4.0899 4.0899 4.0729 90.00 90.00 90.00
Atoms (fractional coordinates):
Zr 0.0000 0.0000 0.0000
C 0.5000 0.5000 0.5000
O 0.0000 0.5000 0.0000
O 0.5000 0.0000 0.0000
F 0.0000 0.0000 0.5000

---

# 2
InNiBr | PBEsol | optimized geometry

## Properties
Theoretical density   7.15 Mg/m³
DOS(E_F)   0.584 states/eV/atom
E_form (uncorrected)   0.3 eV per formula unit
Total DFT energy (no corrections)   -10.69 eV per cell

Lattice parameters (Å, degrees): 5.9969 5.9969 5.9969 148.46 148.46 45.21
Atoms (fractional coordinates):
In 0.0000 0.0000 0.0000
Ni 0.6165 0.6165 0.0000
Br 0.2640 0.2640 0.0000

---

# 3
Li2TiB2O6 | PBEsol | optimized geometry

## Properties
Theoretical density   2.60 Mg/m³
DOS(E_F)   0.000 states/eV/atom
E_form (uncorrected)   -27.8 eV per formula unit
Total DFT energy (no corrections)   -342.27 eV per cell

Lattice parameters (Å, degrees): 5.0378 8.8888 11.3225 90.00 115.36 90.00
Atoms (fractional coordinates):
Li 0.2117 0.1768 0.3906
Li 0.2117 0.3232 0.8906
Li 0.2676 0.5143 0.0986
Li 0.2676 0.9857 0.5986
Li 0.7324 0.0143 0.4014
Li 0.7324 0.4857 0.9014
Li 0.7883 0.6768 0.1094
Li 0.7883 0.8232 0.6094
Ti 0.2820 0.1765 0.1446
Ti 0.2820 0.3235 0.6446
Ti 0.7180 0.6765 0.3554
Ti 0.7180 0.8235 0.8554
B 0.2054 0.6559 0.8704
B 0.2054 0.8441 0.3704
B 0.2763 0.6621 0.6200
B 0.2763 0.8379 0.1200
B 0.7237 0.1621 0.8800
B 0.7237 0.3379 0.3800
B 0.7946 0.1559 0.6296
B 0.7946 0.3441 0.1296
O 0.0159 0.1769 0.9643
O 0.0159 0.3231 0.4643
O 0.0201 0.7225 0.3083
O 0.0201 0.7775 0.8083
O 0.1103 0.5300 0.9043
O 0.1103 0.9700 0.4043
O 0.3939 0.5212 0.6631
O 0.3939 0.9788 0.1631
O 0.4495 0.7119 0.1647
O 0.4495 0.7881 0.6647
O 0.4966 0.1774 0.6011
O 0.4966 0.3226 0.1011
O 0.5034 0.6774 0.8989
O 0.5034 0.8226 0.3989
O 0.5505 0.2119 0.3353
O 0.5505 0.2881 0.8353
O 0.6061 0.0212 0.8369
O 0.6061 0.4788 0.3369
O 0.8897 0.0300 0.5957
O 0.8897 0.4700 0.0957
O 0.9799 0.2225 0.1917
O 0.9799 0.2775 0.6917
O 0.9841 0.6769 0.5357
O 0.9841 0.8231 0.0357